Entry 1:
An optimized crystal structure of CuI. Source: OQMD via LeMat-Bulk, functional PBE.

a = 5.7078 Å, b = 5.7078 Å, c = 5.7078 Å
α = 90.00°, β = 90.00°, γ = 90.00°
Space group Fm-3m (No. 225)
One atom of each set of equivalent atoms:
Cu 0.0000 0.0000 0.0000 (multiplicity 4)
I 0.0000 0.0000 0.5000 (multiplicity 4)

Results
Final energy, eV/cell: -20.4

=====

Entry 2:
An optimized crystal structure of Co9W4. Source: OQMD via LeMat-Bulk, functional PBE.

a = 4.7271 Å, b = 4.7271 Å, c = 24.7826 Å
α = 90.00°, β = 90.00°, γ = 120.00°
Space group R-3m (No. 166, hexagonal axes)
One atom of each set of equivalent atoms:
Co 0.0000 0.0000 0.0000 (multiplicity 3)
Co 0.0000 0.0000 0.3467 (multiplicity 6)
Co 0.0055 0.5027 0.4085 (multiplicity 18)
W 0.0000 0.0000 0.1648 (multiplicity 6)
W 0.0000 0.0000 0.4465 (multiplicity 6)

Results
Final energy, eV/cell: -342.9
Formation energy from the elements, eV per atom: 0.116

=====

Entry 3:
An optimized crystal structure of RbReIr. Source: OQMD via LeMat-Bulk, functional PBE.

a = 6.3802 Å, b = 6.3802 Å, c = 6.3802 Å
α = 90.00°, β = 90.00°, γ = 90.00°
Space group F-43m (No. 216)
One atom of each set of equivalent atoms:
Rb 0.0000 0.0000 0.0000 (multiplicity 4)
Re 0.2500 0.2500 0.7500 (multiplicity 4)
Ir 0.0000 0.0000 0.5000 (multiplicity 4)

Results
Final energy, eV/cell: -65.2

=====

Entry 4:
An optimized crystal structure of MgPdNO. Source: OQMD via LeMat-Bulk, functional PBE.

a = 3.4021 Å, b = 6.0352 Å, c = 4.9370 Å
α = 90.00°, β = 90.00°, γ = 90.00°
Space group Pmc2_1 (No. 26)
One atom of each set of equivalent atoms:
Mg 0.0000 0.1534 0.0000 (multiplicity 2)
Pd 0.5000 0.3848 0.4753 (multiplicity 2)
N 0.5000 0.3056 0.8639 (multiplicity 2)
O 0.0000 0.1581 0.3984 (multiplicity 2)

Results
Final energy, eV/cell: -43.3

=====

Entry 5:
An optimized crystal structure of SmAl3B4O12. Source: OQMD via LeMat-Bulk, functional PBE.

a = 7.2207 Å, b = 9.3479 Å, c = 11.0515 Å
α = 90.00°, β = 102.88°, γ = 90.00°
Space group C2/c (No. 15)
One atom of each set of equivalent atoms:
Sm 0.0000 0.0364 0.2500 (multiplicity 4)
Al 0.0000 0.4110 0.7500 (multiplicity 4)
Al 0.0559 0.2496 0.5286 (multiplicity 8)
B 0.1930 0.3137 0.2219 (multiplicity 8)
B 0.2488 0.4713 0.9953 (multiplicity 8)
O 0.0605 0.2399 0.1379 (multiplicity 8)
O 0.0939 0.0975 0.9358 (multiplicity 8)
O 0.0964 0.3969 0.9264 (multiplicity 8)
O 0.1597 0.2638 0.7050 (multiplicity 8)
O 0.1887 0.4580 0.2412 (multiplicity 8)
O 0.2503 0.1196 0.4975 (multiplicity 8)

Results
Final energy, eV/cell: -634.1

=====

Entry 6:
An optimized crystal structure of GdEr6Hg. Source: OQMD via LeMat-Bulk, functional PBE.

a = 6.9867 Å, b = 6.9867 Å, c = 5.5128 Å
α = 90.00°, β = 90.00°, γ = 120.00°
Space group P-6m2 (No. 187)
One atom of each set of equivalent atoms:
Gd 0.0000 0.0000 0.0000 (multiplicity 1)
Er 0.1630 0.3260 0.5000 (multiplicity 3)
Er 0.5017 0.0035 0.0000 (multiplicity 3)
Hg 0.6667 0.3333 0.5000 (multiplicity 1)

Results
Final energy, eV/cell: -32.6
Formation energy from the elements, eV per atom: -0.030

=====

Entry 7:
An optimized crystal structure of MgBeFeW. Source: OQMD via LeMat-Bulk, functional PBE.

a = 5.9893 Å, b = 5.9893 Å, c = 5.9893 Å
α = 90.00°, β = 90.00°, γ = 90.00°
Space group F-43m (No. 216)
One atom of each set of equivalent atoms:
Mg 0.0000 0.0000 0.0000 (multiplicity 4)
Be 0.0000 0.0000 0.5000 (multiplicity 4)
Fe 0.2500 0.2500 0.7500 (multiplicity 4)
W 0.2500 0.2500 0.2500 (multiplicity 4)

Results
Final energy, eV/cell: -95.2

=====

Entry 8:
An optimized crystal structure of Al5W. Source: OQMD via LeMat-Bulk, functional PBE.

a = 5.1508 Å, b = 5.1508 Å, c = 17.2142 Å
α = 90.00°, β = 90.00°, γ = 120.00°
Space group P6_3/mmc (No. 194)
One atom of each set of equivalent atoms:
Al 0.0000 0.0000 0.1015 (multiplicity 4)
Al 0.0000 0.5000 0.0000 (multiplicity 6)
Al 0.1683 0.3366 0.2500 (multiplicity 6)
Al 0.3333 0.6667 0.6484 (multiplicity 4)
W 0.3333 0.6667 0.1208 (multiplicity 4)

Results
Final energy, eV/cell: -126.6

=====

Entry 9:
An optimized crystal structure of ZnCdSO. Source: OQMD via LeMat-Bulk, functional PBE.

a = 4.6077 Å, b = 4.6077 Å, c = 6.8229 Å
α = 90.00°, β = 90.00°, γ = 90.00°
Space group P4/nmm (No. 129, origin choice 2)
One atom of each set of equivalent atoms:
Zn 0.2500 0.2500 0.1283 (multiplicity 2)
Cd 0.2500 0.2500 0.6926 (multiplicity 2)
S 0.2500 0.7500 0.0000 (multiplicity 2)
O 0.2500 0.2500 0.3966 (multiplicity 2)

Results
Final energy, eV/cell: -25.4

=====

Entry 10:
An optimized crystal structure of Zr3As4Pt4. Source: OQMD via LeMat-Bulk, functional PBE.

a = 6.6566 Å, b = 3.9879 Å, c = 7.6801 Å
α = 90.00°, β = 90.24°, γ = 90.00°
Space group Pm (No. 6)
One atom of each set of equivalent atoms:
Zr 0.0000 0.0000 0.0000 (multiplicity 1)
Zr 0.0684 0.5000 0.3712 (multiplicity 1)
Zr 0.5072 0.0000 0.8678 (multiplicity 1)
As 0.2873 0.5000 0.0585 (multiplicity 1)
As 0.3205 0.0000 0.5620 (multiplicity 1)
As 0.7698 0.5000 0.7890 (multiplicity 1)
As 0.7748 0.0000 0.3175 (multiplicity 1)
Pt 0.1794 0.5000 0.7424 (multiplicity 1)
Pt 0.3848 0.0000 0.2477 (multiplicity 1)
Pt 0.6966 0.5000 0.1212 (multiplicity 1)
Pt 0.9072 0.0000 0.6243 (multiplicity 1)

Results
Final energy, eV/cell: -77.7

=====

Entry 11:
An optimized crystal structure of ErTmGeCl2. Source: OQMD via LeMat-Bulk, functional PBE.

a = 4.0229 Å, b = 4.0230 Å, c = 10.8159 Å
α = 81.62°, β = 79.99°, γ = 60.00°
Space group P1 (No. 1)
One atom of each set of equivalent atoms:
Er 0.0000 0.0000 0.0000 (multiplicity 1)
Tm 0.7750 0.7298 0.7005 (multiplicity 1)
Ge 0.3878 0.3651 0.8496 (multiplicity 1)
Cl 0.1613 0.0939 0.5544 (multiplicity 1)
Cl 0.6135 0.6357 0.1469 (multiplicity 1)

Results
Final energy, eV/cell: -25.4

=====

Entry 12:
An optimized crystal structure of KLiZrS3. Source: OQMD via LeMat-Bulk, functional PBE.

a = 14.1620 Å, b = 3.8351 Å, c = 10.2440 Å
α = 90.00°, β = 90.00°, γ = 90.00°
Space group Pnma (No. 62)
One atom of each set of equivalent atoms:
K 0.2301 0.2500 0.0237 (multiplicity 4)
Li 0.0138 0.7500 0.0900 (multiplicity 4)
Zr 0.0129 0.2500 0.3332 (multiplicity 4)
S 0.0803 0.7500 0.8726 (multiplicity 4)
S 0.0927 0.2500 0.5685 (multiplicity 4)
S 0.1249 0.7500 0.2634 (multiplicity 4)

Results
Final energy, eV/cell: -131.3

=====

Entry 13:
An optimized crystal structure of Nb2H5. Source: OQMD via LeMat-Bulk, functional PBE.

a = 4.6567 Å, b = 4.6586 Å, c = 4.4915 Å
α = 90.00°, β = 90.57°, γ = 90.00°
Space group P2/c (No. 13)
One atom of each set of equivalent atoms:
Nb 0.2384 0.2373 0.0078 (multiplicity 4)
H 0.0000 0.4865 0.7500 (multiplicity 2)
H 0.1602 0.1605 0.4507 (multiplicity 4)
H 0.5000 0.0146 0.7500 (multiplicity 2)
H 0.5000 0.4923 0.7500 (multiplicity 2)

Results
Final energy, eV/cell: -75.8

=====

Entry 14:
An optimized crystal structure of RbTbSO. Source: OQMD via LeMat-Bulk, functional PBE.

a = 4.1704 Å, b = 4.1704 Å, c = 9.9077 Å
α = 90.00°, β = 90.00°, γ = 90.00°
Space group P4/nmm (No. 129, origin choice 2)
One atom of each set of equivalent atoms:
Rb 0.2500 0.7500 0.0000 (multiplicity 2)
Tb 0.2500 0.2500 0.4023 (multiplicity 2)
S 0.2500 0.2500 0.7664 (multiplicity 2)
O 0.2500 0.7500 0.5000 (multiplicity 2)

Results
Final energy, eV/cell: -44.8

=====

Entry 15:
An optimized crystal structure of AcPrTl. Source: OQMD via LeMat-Bulk, functional PBE.

a = 7.7693 Å, b = 7.7693 Å, c = 7.7693 Å
α = 90.00°, β = 90.00°, γ = 90.00°
Space group F-43m (No. 216)
One atom of each set of equivalent atoms:
Ac 0.0000 0.0000 0.0000 (multiplicity 4)
Pr 0.0000 0.0000 0.5000 (multiplicity 4)
Tl 0.2500 0.2500 0.2500 (multiplicity 4)

Results
Final energy, eV/cell: -45.7

=====

Entry 16:
An optimized crystal structure of HfFe2PH. Source: OQMD via LeMat-Bulk, functional PBE.

a = 3.4676 Å, b = 3.4676 Å, c = 9.7880 Å
α = 90.00°, β = 90.00°, γ = 90.00°
Space group I4mm (No. 107)
One atom of each set of equivalent atoms:
Hf 0.0000 0.0000 0.0000 (multiplicity 2)
Fe 0.0000 0.5000 0.2343 (multiplicity 4)
P 0.0000 0.0000 0.4026 (multiplicity 2)
H 0.0000 0.0000 0.6754 (multiplicity 2)

Results
Final energy, eV/cell: -74.9

=====

Entry 17:
An optimized crystal structure of DyH7C8SO9. Source: OQMD via LeMat-Bulk, functional PBE.

a = 6.2470 Å, b = 8.5293 Å, c = 10.5094 Å
α = 91.12°, β = 99.88°, γ = 107.99°
Space group P-1 (No. 2)
One atom of each set of equivalent atoms:
Dy 0.1525 0.2443 0.1136 (multiplicity 2)
H 0.1848 0.1532 0.5548 (multiplicity 2)
H 0.3136 0.9564 0.1110 (multiplicity 2)
H 0.3424 0.6420 0.7872 (multiplicity 2)
H 0.3535 0.6418 0.5831 (multiplicity 2)
H 0.3892 0.5890 0.3557 (multiplicity 2)
H 0.4168 0.4930 0.8502 (multiplicity 2)
H 0.4579 0.9015 0.8206 (multiplicity 2)
C 0.0191 0.7582 0.6575 (multiplicity 2)
C 0.0217 0.2243 0.7004 (multiplicity 2)
C 0.0524 0.2031 0.5743 (multiplicity 2)
C 0.0802 0.7477 0.5281 (multiplicity 2)
C 0.1344 0.6967 0.2728 (multiplicity 2)
C 0.1569 0.6532 0.1379 (multiplicity 2)
C 0.2465 0.6785 0.5039 (multiplicity 2)
C 0.2680 0.6498 0.3768 (multiplicity 2)
S 0.2153 0.1678 0.8212 (multiplicity 2)
O 0.0877 0.0294 0.8895 (multiplicity 2)
O 0.1488 0.7410 0.7619 (multiplicity 2)
O 0.1528 0.7573 0.0524 (multiplicity 2)
O 0.1712 0.2191 0.3364 (multiplicity 2)
O 0.1784 0.5141 0.1162 (multiplicity 2)
O 0.3149 0.3128 0.9187 (multiplicity 2)
O 0.3787 0.1283 0.7552 (multiplicity 2)
O 0.3829 0.0769 0.1360 (multiplicity 2)
O 0.4685 0.5917 0.8012 (multiplicity 2)

Results
Final energy, eV/cell: -351.5

=====

Entry 18:
An optimized crystal structure of RbLuNO. Source: OQMD via LeMat-Bulk, functional PBE.

a = 4.3545 Å, b = 4.3545 Å, c = 8.9499 Å
α = 90.00°, β = 90.00°, γ = 90.00°
Space group P4/nmm (No. 129, origin choice 2)
One atom of each set of equivalent atoms:
Rb 0.2500 0.7500 0.0000 (multiplicity 2)
Lu 0.2500 0.2500 0.4244 (multiplicity 2)
N 0.2500 0.2500 0.1889 (multiplicity 2)
O 0.2500 0.7500 0.5000 (multiplicity 2)

Results
Final energy, eV/cell: -46.8

=====

Entry 19:
An optimized crystal structure of TmSbPd2O6. Source: OQMD via LeMat-Bulk, functional PBE.

a = 5.4034 Å, b = 5.6396 Å, c = 9.4586 Å
α = 90.00°, β = 121.04°, γ = 90.00°
Space group P2_1/c (No. 14)
One atom of each set of equivalent atoms:
Tm 0.0000 0.0000 0.0000 (multiplicity 2)
Sb 0.5000 0.0000 0.5000 (multiplicity 2)
Pd 0.3211 0.0630 0.8075 (multiplicity 4)
O 0.1737 0.2193 0.4287 (multiplicity 4)
O 0.2176 0.7319 0.4003 (multiplicity 4)
O 0.4175 0.0913 0.2652 (multiplicity 4)

Results
Final energy, eV/cell: -125.0